Entry from the Alexandria database: a relaxed PuCd8Ag4 crystal (PBE).

Properties
Volume ... 21.61 Å³ per atom
Calculated density ... 9.3 g/cm³
Symmetry ... No. 139
Formation energy ... -0.0468 eV per atom
Size of the total moment ... 6.25 μB per cell

extended XYZ file:
```
13
Lattice="-2.400 -0.478 5.069 -7.590 0.155 -0.454 -1.301 -7.268 1.823" Properties=species:S:1:pos:R:3 pbc="T T T"
Ag -1.851 -3.873 3.446
Ag -0.650 -3.634 0.912
Ag -3.795 0.077 -0.227
Ag -4.995 -0.162 2.307
Cd -4.643 -2.771 3.790
Cd -7.455 -1.660 2.563
Cd -5.417 -2.410 0.333
Cd -3.836 -5.931 3.874
Cd -3.474 -4.703 1.036
Cd -8.713 -5.944 4.688
Cd -2.578 -1.648 1.749
Cd -6.648 -4.820 2.647
Pu 0.000 0.000 0.000
```

Entry from the Alexandria database: a relaxed PSe2 crystal (PBE).

Properties
Volume ... 24.19 Å³ per atom
Calculated density ... 4.3 g/cm³
Formation energy from raw total energies ... 0.28 eV/atom
Symmetry ... No. 141
Polymorph energy (0 for the lowest one) ... 0.753 eV/f.u.
Size of the total moment ... 0.00 μB per cell

extended XYZ file:
```
12
Lattice="-25.497 -1.133 7.102 -24.264 -5.057 9.355 25.361 4.349 -6.306" Properties=species:S:1:pos:R:3 pbc="T T T"
Se -7.157 0.727 2.742
Se -19.528 -2.429 6.459
Se -30.233 -3.760 9.999
Se -14.059 -1.749 4.650
Se -23.331 -1.285 8.091
Se -35.702 -4.441 11.808
Se -17.861 -0.605 6.282
Se -1.687 1.407 0.933
P -3.104 -0.386 1.027
P -8.788 -1.515 4.612
P -14.996 -2.287 6.665
P -46.658 -5.803 15.431
```

Entry from the Alexandria database: a relaxed Tb3Co3Bi crystal (PBE).

Properties
Volume ... 22.40 Å³ per atom
Calculated density ... 9.1 g/cm³
Symmetry ... No. 176
Formation energy ... -0.3029 eV per atom
Size of the total moment ... 4.96 μB per cell

extended XYZ file:
```
14
Lattice="-0.484 -4.136 0.641 9.001 -1.329 -1.778 -2.814 1.674 8.674" Properties=species:S:1:pos:R:3 pbc="T T T"
Tb 3.491 -0.697 5.065
Tb 2.212 -3.095 2.472
Tb 0.046 0.106 7.641
Tb -0.527 -0.493 3.344
Tb 5.657 -3.898 -0.105
Tb 6.230 -3.299 4.192
Co -1.900 -1.641 8.747
Co 4.811 -2.779 6.473
Co 7.603 -2.151 -1.211
Co 6.331 -0.924 5.745
Co -0.627 -2.868 1.791
Co 0.892 -1.013 1.063
Bi 0.761 -2.430 5.670
Bi 4.942 -1.362 1.866
```

Entry from the Alexandria database: a relaxed Ac2Hg7 crystal (PBE).

Properties
Volume ... 28.23 Å³ per atom
Calculated density ... 12.1 g/cm³
Symmetry ... No. 166
Formation energy ... -0.2446 eV per atom
Polymorph energy (0 for the lowest one) ... 1.105 eV/f.u.
Size of the total moment ... 0.00 μB per cell

extended XYZ file:
```
18
Lattice="-1.166 -5.756 1.926 1.003 -4.786 -3.780 14.327 -4.663 4.653" Properties=species:S:1:pos:R:3 pbc="T T T"
Hg 4.183 -8.559 1.842
Hg 2.405 -7.229 -0.314
Hg 9.386 -9.581 1.940
Hg 2.385 -3.709 0.276
Hg 9.981 -6.646 0.958
Hg 11.759 -7.977 3.114
Hg -0.583 -2.878 0.963
Hg 5.289 -8.065 -1.067
Hg 11.778 -11.497 2.523
Hg 8.875 -7.141 3.867
Hg 4.777 -5.625 0.860
Hg -0.082 -5.271 -0.927
Hg 7.082 -7.603 1.400
Hg 0.501 -2.393 -1.890
Ac 12.232 -4.496 3.885
Ac 8.010 -4.159 2.338
Ac 6.153 -11.047 0.462
Ac 1.932 -10.710 -1.086
```

Entry from the Alexandria database: a relaxed Ho8Ge5As crystal (PBE).

Properties
Volume ... 24.14 Å³ per atom
Calculated density ... 8.6 g/cm³
Symmetry ... No. 82
Formation energy ... -0.9245 eV per atom
Size of the total moment ... 0.00 μB per cell

extended XYZ file:
```
14
Lattice="7.180 0.000 -2.491 -3.572 6.203 -2.554 -0.036 0.000 7.600" Properties=species:S:1:pos:R:3 pbc="T T T"
Ge 2.204 0.770 6.340
Ge 3.572 0.000 2.554
Ge -1.335 2.328 -0.007
Ge 3.141 5.433 -2.518
Ge 3.134 3.875 1.294
Ho 1.300 5.477 2.838
Ho 6.678 0.726 2.867
Ho -1.781 4.651 -2.166
Ho 1.327 3.826 -0.946
Ho 0.947 1.552 1.569
Ho 3.106 2.377 4.116
Ho -1.813 4.662 1.626
Ho 4.524 1.541 0.313
As -0.018 3.102 3.800
```

Entry from the Alexandria database: a relaxed Cd2SiSe crystal (PBE).

Properties
Volume ... 21.69 Å³ per atom
Calculated density ... 6.4 g/cm³
Formation energy from raw total energies ... 0.30 eV/atom
Symmetry ... No. 166
Polymorph energy (0 for the lowest one) ... 0.887 eV/f.u.
Size of the total moment ... 0.00 μB per cell

extended XYZ file:
```
4
Lattice="12.165 0.054 0.032 11.810 2.916 0.032 11.810 1.463 2.522" Properties=species:S:1:pos:R:3 pbc="T T T"
Se 8.946 1.108 0.646
Cd 17.670 2.189 1.277
Cd 0.222 0.028 0.016
Si 26.839 3.325 1.939
```

Entry from the Alexandria database: a relaxed RbIn4Hg2Pb crystal (PBE).

Properties
Volume ... 32.69 Å³ per atom
Calculated density ... 7.3 g/cm³
Symmetry ... No. 123
Formation energy ... -0.0578 eV per atom
Size of the total moment ... 0.00 μB per cell

extended XYZ file:
```
8
Lattice="5.185 0.000 0.000 0.000 5.185 0.000 0.000 0.000 9.729" Properties=species:S:1:pos:R:3 pbc="T T T"
In 0.000 2.592 1.827
In 2.592 0.000 1.827
In 2.592 0.000 7.902
In 0.000 2.592 7.902
Rb 0.000 0.000 4.864
Hg 2.592 2.592 3.409
Hg 2.592 2.592 6.319
Pb 0.000 0.000 0.000
```

Entry from the Alexandria database: a relaxed La10PrNd4 crystal (PBE).

Properties
Volume ... 37.87 Å³ per atom
Calculated density ... 6.2 g/cm³
Symmetry ... No. 87
Formation energy ... 0.3379 eV per atom
Size of the total moment ... 0.00 μB per cell

extended XYZ file:
```
15
Lattice="10.069 0.000 4.546 5.034 7.171 2.273 2.083 0.000 8.809" Properties=species:S:1:pos:R:3 pbc="T T T"
La 6.375 4.647 3.842
La 10.732 0.878 7.616
La 9.858 6.293 9.550
La 11.110 3.586 8.951
La 6.076 3.586 6.678
La 6.454 6.293 8.013
La 4.147 2.524 8.777
La 10.811 2.524 11.786
La 7.328 0.878 6.079
La 13.039 4.647 6.852
Nd 4.040 1.513 4.475
Nd 7.740 2.416 9.703
Nd 9.446 4.755 5.926
Nd 13.146 5.658 11.154
Pr 0.000 0.000 0.000
```